Version a
Entry from Alexandria: Na2TlSb after structural relaxation (PBE-GGA).

- symmetry = P4/mmm, No. 123
- spin magnetization (μB/cell) = 0.00

Unit cell a=4.8026 b=4.7683 c=4.7683 alpha=90.00 beta=90.00 gamma=90.00
With the nearest neighbours (Å) after each atom.
Positions (direct):
Sb 0.5000 0.5000 0.5000  4 Tl 3.37, 8 Na 3.38
Tl 0.5000 0.0000 0.0000  4 Sb 3.37, 8 Na 3.38
Na 0.0000 0.0000 0.5000  4 Na 3.37, 4 Sb 3.38, 4 Tl 3.38
Na 0.0000 0.5000 0.0000  4 Na 3.37, 4 Sb 3.38, 4 Tl 3.38

=====

Version b
Entry from Alexandria: Na2TlSb after structural relaxation (PBE-GGA).

- symmetry = I-42d, No. 122
- spin magnetization (μB/cell) = 0.00

Unit cell a=4.8424 b=4.8424 c=11.1843 alpha=77.50 beta=77.50 gamma=90.00
With the nearest neighbours (Å) after each atom.
Positions (direct):
Sb 0.5000 0.5000 0.0000  4 Na 3.13, 4 Tl 3.42
Sb 0.2500 0.7500 0.5000  4 Na 3.13, 4 Tl 3.42
Tl 0.0000 0.0000 0.0000  4 Na 3.20, 4 Sb 3.42
Tl 0.7500 0.2500 0.5000  4 Na 3.20, 4 Sb 3.42
Na 0.6075 0.1250 0.2500  2 Sb 3.13, 2 Tl 3.20, 2 Na 3.31
Na 0.1425 0.6250 0.2500  2 Sb 3.13, 2 Tl 3.20, 2 Na 3.31
Na 0.3750 0.3925 0.7500  2 Sb 3.13, 2 Tl 3.20, 2 Na 3.31
Na 0.8750 0.8575 0.7500  2 Sb 3.13, 2 Tl 3.20, 2 Na 3.31

=====

Which of them is the most stable? Correct choice: version a.

=====

Version a
Entry from Alexandria: Na2TlSb after structural relaxation (PBE-GGA).

- symmetry = Fm-3m, No. 225
- spin magnetization (μB/cell) = 0.00

Unit cell a=5.3807 b=5.3807 c=5.3807 alpha=60.00 beta=60.00 gamma=60.00
With the nearest neighbours (Å) after each atom.
Positions (direct):
Sb 0.0000 0.0000 0.0000  8 Na 3.29
Tl 0.5000 0.5000 0.5000  8 Na 3.29
Na 0.2500 0.2500 0.2500  4 Tl 3.29, 4 Sb 3.29
Na 0.7500 0.7500 0.7500  4 Tl 3.29, 4 Sb 3.29

=====

Version b
Entry from Alexandria: Na2TlSb after structural relaxation (PBE-GGA).

- symmetry = R3m, No. 160
- spin magnetization (μB/cell) = 0.00

Unit cell a=3.5120 b=3.5120 c=10.7312 alpha=80.58 beta=80.58 gamma=60.00
With the nearest neighbours (Å) after each atom.
Positions (direct):
Na 0.0799 0.0799 0.7603  3 Sb 3.24, 3 Tl 3.42, 6 Na 3.51
Na 0.2534 0.2534 0.2398  3 Sb 3.24, 3 Tl 3.40, 6 Na 3.51
Tl 0.5002 0.5002 0.4993  6 Na 3.40-3.42, 6 Tl 3.51
Sb 0.6665 0.6665 0.0005  6 Na 3.24, 6 Sb 3.51

=====

Which of them is the most stable? Correct choice: version a.